The following is a DFT calculation (PBE-GGA) of a relaxed PmSnIrO6 crystal.

Computed properties:
As for the uncorrected formation energy: -1579 meV/atom. The calculation puts the density of states at the Fermi level at 13.65 states/eV per cell. The value obtained for the calculated volume is 232.2 Å³/cell.

Cell and atoms, written as CIF:
```
data_PmSnIrO6
_symmetry_space_group_name_H-M 'P -3 1 c'
_symmetry_Int_Tables_number 163
_symmetry_space_group_name_Hall '-P 3 2c'
_cell_length_a 5.4837
_cell_length_b 5.4837
_cell_length_c 8.9157
_cell_angle_alpha 90.00
_cell_angle_beta 90.00
_cell_angle_gamma 120.00
loop_
_atom_site_label
_atom_site_type_symbol
_atom_site_fract_x
_atom_site_fract_y
_atom_site_fract_z
Pm1 Pm 0.3333 0.6667 0.2500
Sn1 Sn 0.0000 0.0000 0.0000
Ir1 Ir 0.3333 0.6667 0.7500
O1 O 0.0455 0.3561 0.6212
```